Compound: TlAs2Br
Source: Alexandria
Functional: PBE-GGA
Structure: relaxed

Calculated values
DOS at the Fermi energy (states/eV/atom): 0.283
Energy above the lowest structure with this stoichiometry (meV/atom): 245
Formation energy (no corrections) (meV/atom): -22
Total magnetization (Bohr magnetons per cell): 0.00

Unit cell a=5.007 b=5.007 c=10.152 alpha=90.00 beta=90.00 gamma=136.64
Fractional positions:
As 0.500 0.500 0.202
As 0.000 0.000 0.050
Tl 0.500 0.500 0.733
Br 0.000 0.000 0.516

=====

Compound: TlAs2Br
Source: Alexandria
Functional: PBE-GGA
Structure: relaxed

Calculated values
DOS at the Fermi energy (states/eV/atom): 0.790
Energy above the lowest structure with this stoichiometry (meV/atom): 607
Formation energy (no corrections) (meV/atom): 340
Total magnetization (Bohr magnetons per cell): 0.19

Unit cell a=7.471 b=7.471 c=2.824 alpha=90.00 beta=90.00 gamma=135.02
Each line ends with the local moment (μB).
Fractional positions:
As 0.500 0.500 0.000  0.00
Br 0.500 0.000 0.500  0.15
As 0.000 0.000 0.000  0.00
Tl 0.000 0.500 0.500  0.00

=====

Compound: TlAs2Br
Source: Alexandria
Functional: PBE-GGA
Structure: relaxed

Calculated values
DOS at the Fermi energy (states/eV/atom): 0.489
Energy above the lowest structure with this stoichiometry (meV/atom): 195
Formation energy (no corrections) (meV/atom): -72
Total magnetization (Bohr magnetons per cell): 0.00

Unit cell a=6.403 b=6.403 c=6.403 alpha=146.85 beta=119.44 gamma=70.81
Fractional positions:
As 0.783 0.283 0.500
Br 0.509 0.509 0.000
Tl 0.273 0.773 0.500
As 0.936 0.936 0.000

=====

Q: Which of these has the lowest formation energy (no corrections)?
A: number 3